Below is a relaxed structure of TbTl2AsS4, with properties calculated at the PBE-GGA level.

Lattice parameters (Å, degrees): 8.2668 8.2668 8.2794 120.05 120.05 90.08
With the nearest neighbours (Å) after each atom.
Positions (direct):
Tb  0.0000  0.5000  0.0000  6 S 2.77-2.79
Tb  0.0000  0.5000  0.5000  6 S 2.77-2.79
Tl  0.5000  0.0000  0.0000  6 S 3.10
Tl  0.5000  0.0000  0.5000  6 S 3.10
Tl  0.0000  0.0000  0.5000  6 S 3.17-3.20
Tl  0.5000  0.5000  0.0000  6 S 3.17-3.20
As  0.5000  0.5000  0.5000  6 S 2.67-2.70
As  0.0000  0.0000  0.0000  6 S 2.67-2.70
S  0.1987  0.7440  0.9713  1 As 2.67, 2 Tb 2.77
S  0.7560  0.3013  0.5287  1 As 2.67, 2 Tb 2.77
S  0.2440  0.6987  0.4713  1 As 2.67, 2 Tb 2.77
S  0.8013  0.2560  0.0287  1 As 2.67, 2 Tb 2.77
S  0.7630  0.7370  0.9598  2 As 2.70, 1 Tb 2.79
S  0.7630  0.7370  0.5402  2 As 2.70, 1 Tb 2.79
S  0.2370  0.2631  0.4598  2 As 2.70, 1 Tb 2.79
S  0.2370  0.2630  0.0402  2 As 2.70, 1 Tb 2.79

Values from the calculation:
The total energy is -4.5771 eV/atom. As for the space-group type: Imma, No. 74.

---

Below is a relaxed structure of Tb6TlAs2S3, with properties calculated at the PBE-GGA level.

Lattice parameters (Å, degrees): 4.0441 8.2525 9.1389 102.79 102.78 90.00
With the nearest neighbours (Å) after each atom.
Positions (direct):
Tb  0.3277  0.9131  0.6554  3 S 2.77-2.91, 2 As 2.89, 1 Tl 2.99
Tb  0.6679  0.5827  0.3359  3 As 2.87-2.88, 3 S 2.88-2.92
Tb  0.6723  0.0869  0.3446  3 S 2.77-2.91, 2 As 2.89, 1 Tl 2.99
Tb  0.9989  0.2697  0.9979  3 S 2.77-2.90, 1 As 2.92, 2 Tl 3.01
Tb  0.0011  0.7303  0.0021  3 S 2.77-2.90, 1 As 2.92, 2 Tl 3.01
Tb  0.3321  0.4173  0.6641  3 As 2.87-2.88, 3 S 2.88-2.92
Tl  0.5000  0.0000  0.0000  6 Tb 2.99-3.01
As  0.8331  0.6657  0.6662  6 Tb 2.87-2.92
As  0.1669  0.3343  0.3338  6 Tb 2.87-2.92
S  0.5000  0.5000  0.0000  6 Tb 2.77-2.92
S  0.8320  0.1682  0.6639  6 Tb 2.77-2.91
S  0.1680  0.8318  0.3361  6 Tb 2.77-2.91

Values from the calculation:
The total energy is -5.8595 eV/atom. As for the space-group type: C2/m, No. 12.

---

Below is a relaxed structure of TbTmAsS, with properties calculated at the PBE-GGA level.

Lattice parameters (Å, degrees): 4.0094 4.0102 5.6358 89.99 90.00 90.00
With the nearest neighbours (Å) after each atom.
Positions (direct):
Tb  0.0000  0.8914  0.0924  2 S 2.82, 4 As 2.84
Tm  0.5000  0.3916  0.5925  2 As 2.82, 4 S 2.84
As  0.5000  0.3915  0.0924  2 Tm 2.82, 4 Tb 2.84
S  0.0000  0.8916  0.5924  2 Tb 2.82, 4 Tm 2.84

Values from the calculation:
The total energy is -6.2301 eV/atom. As for the space-group type: P4/mmm, No. 123.

---

Below is a relaxed structure of TbUAsS2, with properties calculated at the PBE-GGA level.

Lattice parameters (Å, degrees): 4.1877 4.1877 7.3450 106.56 106.56 90.00
With the nearest neighbours (Å) after each atom.
Positions (direct):
Tb  0.8711  0.8711  0.7422  4 S 2.68
U  0.1237  0.1237  0.2474  4 S 2.67
As  0.5110  0.5110  0.0219  4 U 3.33, 4 Tb 3.51
S  0.7471  0.2471  0.4942  2 U 2.67, 2 Tb 2.68, 4 S 2.96
S  0.2471  0.7471  0.4942  2 U 2.67, 2 Tb 2.68, 4 S 2.96

Values from the calculation:
The total energy is -6.7775 eV/atom. As for the space-group type: I4mm, No. 107.

---

Below is a relaxed structure of TbYAsS, with properties calculated at the PBE-GGA level.

Lattice parameters (Å, degrees): 4.0286 4.0285 5.7129 89.98 90.00 90.00
With the nearest neighbours (Å) after each atom.
Positions (direct):
Tb  0.5000  0.3915  0.0925  4 S 2.85, 2 As 2.86
Y  0.0000  0.8916  0.5924  4 As 2.85, 2 S 2.86
As  0.5000  0.3916  0.5925  4 Y 2.85, 2 Tb 2.86
S  0.0000  0.8914  0.0924  4 Tb 2.85, 2 Y 2.86

Values from the calculation:
The total energy is -6.7793 eV/atom. As for the space-group type: P4/mmm, No. 123.

---

Below is a relaxed structure of TbZnAsS, with properties calculated at the PBE-GGA level.

Lattice parameters (Å, degrees): 4.3130 4.3130 11.4200 79.12 79.12 60.00
With the nearest neighbours (Å) after each atom.
Positions (direct):
Tb  0.1091  0.1091  0.6726  4 S 2.65-2.94
Tb  0.8909  0.8909  0.3274  4 S 2.65-2.94
Zn  0.6944  0.6944  0.9169  4 As 2.60
Zn  0.3056  0.3056  0.0831  4 As 2.60
As  0.6165  0.6165  0.1505  4 Zn 2.60
As  0.3835  0.3835  0.8495  4 Zn 2.60
S  0.8030  0.8030  0.5911  4 Tb 2.65-2.94
S  0.1970  0.1970  0.4089  4 Tb 2.65-2.94

Values from the calculation:
The total energy is -4.7990 eV/atom. As for the space-group type: R-3m, No. 166.

---

Below is a relaxed structure of TbZrAsS, with properties calculated at the PBE-GGA level.

Lattice parameters (Å, degrees): 4.6408 4.6408 10.4684 77.19 77.19 60.00
With the nearest neighbours (Å) after each atom.
Positions (direct):
Tb  0.6169  0.6169  0.1492  4 S 2.70-2.71
Tb  0.3831  0.3831  0.8508  4 S 2.70-2.71
Zr  0.7971  0.7971  0.6087  4 As 2.71-2.73, 1 S 2.76
Zr  0.2029  0.2029  0.3913  4 As 2.71-2.73, 1 S 2.76
As  0.1136  0.1136  0.6591  4 Zr 2.71-2.73
As  0.8864  0.8864  0.3409  4 Zr 2.71-2.73
S  0.7063  0.7063  0.8810  4 Tb 2.70-2.71, 1 Zr 2.76
S  0.2937  0.2937  0.1190  4 Tb 2.70-2.71, 1 Zr 2.76

Values from the calculation:
The total energy is -6.8194 eV/atom. As for the space-group type: R-3m, No. 166.

---

Below is a relaxed structure of Tc3AsS, with properties calculated at the PBE-GGA level.

Lattice parameters (Å, degrees): 4.3866 4.3866 4.3866 90.00 90.00 90.00
With the nearest neighbours (Å) after each atom.
Positions (direct):
S  0.0000  0.0000  0.0000  6 Tc 2.19
As  0.5000  0.5000  0.5000  12 Tc 3.10
Tc  0.0000  0.5000  0.0000  2 S 2.19
Tc  0.0000  0.0000  0.5000  2 S 2.19
Tc  0.5000  0.0000  0.0000  2 S 2.19

Values from the calculation:
The excess energy over the best structure of this formula in the dataset is 0.00 eV per formula unit. As for the space-group type: Pm-3m, No. 221.

---

Below is a relaxed structure of Th4TcAsS2, with properties calculated at the PBE-GGA level.

Lattice parameters (Å, degrees): 4.0999 7.3332 7.1548 108.84 90.00 90.00
With the nearest neighbours (Å) after each atom.
Positions (direct):
Th  0.5000  0.2629  0.2492  1 Tc 2.86, 3 S 2.90-3.03, 2 As 2.98
Th  0.5000  0.7371  0.7508  1 Tc 2.86, 3 S 2.90-3.03, 2 As 2.98
Th  0.0000  0.2650  0.7609  2 Tc 2.86, 3 S 2.92-3.02, 1 As 2.97
Th  0.0000  0.7350  0.2391  2 Tc 2.86, 3 S 2.92-3.02, 1 As 2.97
Tc  0.5000  0.5000  0.0000  6 Th 2.86
As  0.0000  0.0000  0.0000  6 Th 2.97-2.98
S  0.5000  0.0000  0.5000  6 Th 3.02-3.03
S  0.0000  0.5000  0.5000  6 Th 2.90-2.92

Values from the calculation:
The total energy is -7.8384 eV/atom. As for the space-group type: P2/m, No. 10.

---

Below is a relaxed structure of UTcAsS, with properties calculated at the PBE-GGA level.

Lattice parameters (Å, degrees): 4.3327 4.3327 8.0149 90.00 90.00 90.00
With the nearest neighbours (Å) after each atom.
Positions (direct):
U  0.5000  0.0000  0.7087  4 S 2.74
U  0.0000  0.5000  0.2913  4 S 2.74
Tc  0.5000  0.5000  0.0000  4 As 2.50
Tc  0.0000  0.0000  0.0000  4 As 2.50
As  0.0000  0.5000  0.8440  4 Tc 2.50
As  0.5000  0.0000  0.1560  4 Tc 2.50
S  0.0000  0.0000  0.5000  4 U 2.74, 4 S 3.06
S  0.5000  0.5000  0.5000  4 U 2.74, 4 S 3.06

Values from the calculation:
The total energy is -8.3393 eV/atom. As for the space-group type: P4/nmm, No. 129.

---

Below is a relaxed structure of Tc2AsWS, with properties calculated at the PBE-GGA level.

Lattice parameters (Å, degrees): 4.5455 4.5117 4.5455 90.00 90.00 90.00
With the nearest neighbours (Å) after each atom.
Positions (direct):
S  0.0000  0.5000  0.0000  2 As 2.26
As  0.0000  0.0000  0.0000  2 S 2.26, 4 Tc 2.27
Tc  0.0000  0.0000  0.5000  2 As 2.27
Tc  0.5000  0.0000  0.0000  2 As 2.27
W  0.5000  0.5000  0.5000  8 Tc 3.20, 4 S 3.21

Values from the calculation:
The total energy is -6.6549 eV/atom. As for the space-group type: P4/mmm, No. 123.

---

Below is a relaxed structure of YTc2AsS, with properties calculated at the PBE-GGA level.

Lattice parameters (Å, degrees): 4.3668 5.1614 4.3668 90.00 90.00 90.00
With the nearest neighbours (Å) after each atom.
Positions (direct):
Y  0.5000  0.5000  0.5000  4 As 3.09, 8 Tc 3.38
As  0.0000  0.5000  0.0000  2 S 2.58
S  0.0000  0.0000  0.0000  4 Tc 2.18
Tc  0.0000  0.0000  0.5000  2 S 2.18
Tc  0.5000  0.0000  0.0000  2 S 2.18

Values from the calculation:
The total energy is -7.0094 eV/atom. As for the space-group type: P4/mmm, No. 123.

---

Below is a relaxed structure of ZnTcAs2S, with properties calculated at the PBE-GGA level.

Lattice parameters (Å, degrees): 4.8716 4.3449 4.8716 90.00 90.00 90.00
With the nearest neighbours (Å) after each atom.
Positions (direct):
S  0.0000  0.0000  0.0000  2 Tc 2.17
Zn  0.5000  0.5000  0.5000  8 As 3.26, 4 Tc 3.44
As  0.0000  0.0000  0.5000  2 S 2.44
As  0.5000  0.0000  0.0000  2 S 2.44
Tc  0.0000  0.5000  0.0000  2 S 2.17

Values from the calculation:
The total energy is -4.1092 eV/atom. As for the space-group type: P4/mmm, No. 123.

---

Below is a relaxed structure of Te3AsS, with properties calculated at the PBE-GGA level.

Lattice parameters (Å, degrees): 5.2235 5.2235 5.2235 90.00 90.00 90.00
With the nearest neighbours (Å) after each atom.
Positions (direct):
As  0.5000  0.5000  0.5000  12 Te 3.69
Te  0.0000  0.5000  0.0000  2 S 2.61
Te  0.0000  0.0000  0.5000  2 S 2.61
Te  0.5000  0.0000  0.0000  2 S 2.61
S  0.0000  0.0000  0.0000  6 Te 2.61

Values from the calculation:
The excess energy over the best structure of this formula in the dataset is 0.00 eV per formula unit. As for the space-group type: Pm-3m, No. 221.

---

In the order shown, the computed size of the total moment values come out to 0.00; 0.00; 0.00; 2.00; 0.00; 0.00; 0.00; 1.44; 0.00; 1.71; 0.00; 1.61; 0.00; 0.00 μB/f.u..